PrCu2Ni | PBE | optimized geometry

a b c (Å): 14.8596 6.9692 5.2826
angles (deg): 90.00 90.00 90.00
Sites, in units of the cell vectors:
Pr (0.1052, 0.2500, 0.2397)
Pr (0.1415, 0.7500, 0.4629)
Pr (0.3585, 0.2500, 0.9629)
Pr (0.3948, 0.7500, 0.7397)
Pr (0.6052, 0.2500, 0.2603)
Pr (0.6415, 0.7500, 0.0371)
Pr (0.8585, 0.2500, 0.5371)
Pr (0.8948, 0.7500, 0.7603)
Cu (0.0419, 0.0637, 0.7619)
Cu (0.0419, 0.4363, 0.7619)
Cu (0.2100, 0.5597, 0.9367)
Cu (0.2100, 0.9403, 0.9367)
Cu (0.2900, 0.0597, 0.4367)
Cu (0.2900, 0.4403, 0.4367)
Cu (0.4581, 0.5637, 0.2619)
Cu (0.4581, 0.9363, 0.2619)
Cu (0.5419, 0.0637, 0.7381)
Cu (0.5419, 0.4363, 0.7381)
Cu (0.7100, 0.5597, 0.5633)
Cu (0.7100, 0.9403, 0.5633)
Cu (0.7900, 0.0597, 0.0633)
Cu (0.7900, 0.4403, 0.0633)
Cu (0.9581, 0.5637, 0.2381)
Cu (0.9581, 0.9363, 0.2381)
Ni (0.0698, 0.7500, 0.9844)
Ni (0.1868, 0.2500, 0.7075)
Ni (0.3132, 0.7500, 0.2075)
Ni (0.4302, 0.2500, 0.4844)
Ni (0.5698, 0.7500, 0.5156)
Ni (0.6868, 0.2500, 0.7925)
Ni (0.8132, 0.7500, 0.2925)
Ni (0.9302, 0.2500, 0.0156)

Properties
Final energy in eV per atom: -4.886
Energy of formation in eV per atom: -0.1977

***

Cu2SnIr | PBE | optimized geometry

a b c (Å): 3.7964 3.7964 18.5279
angles (deg): 90.00 90.00 90.00
Sites, in units of the cell vectors:
Cu (0.2191, 0.2500, 0.1250)
Cu (0.2500, 0.7191, 0.3750)
Cu (0.2500, 0.7809, 0.8750)
Cu (0.2809, 0.2500, 0.6250)
Cu (0.7191, 0.7500, 0.6250)
Cu (0.7500, 0.2191, 0.8750)
Cu (0.7500, 0.2809, 0.3750)
Cu (0.7809, 0.7500, 0.1250)
Sn (0.0000, 0.0000, 0.5000)
Sn (0.0000, 0.5000, 0.7500)
Sn (0.5000, 0.0000, 0.2500)
Sn (0.5000, 0.5000, 0.0000)
Ir (0.0000, 0.0000, 0.0000)
Ir (0.0000, 0.5000, 0.2500)
Ir (0.5000, 0.0000, 0.7500)
Ir (0.5000, 0.5000, 0.5000)

Properties
Final energy in eV per atom: -5.014
Energy of formation in eV per atom: 0.2496

***

Pm2AuO | PBE | optimized geometry

a b c (Å): 3.7958 3.7958 20.7110
angles (deg): 90.00 90.00 120.00
Sites, in units of the cell vectors:
Pm (0.0000, 0.0000, 0.2322)
Pm (0.0000, 0.0000, 0.7678)
Pm (0.3333, 0.6667, 0.4345)
Pm (0.3333, 0.6667, 0.8989)
Pm (0.6667, 0.3333, 0.1011)
Pm (0.6667, 0.3333, 0.5655)
Au (0.0000, 0.0000, 0.0000)
Au (0.3333, 0.6667, 0.6667)
Au (0.6667, 0.3333, 0.3333)
O (0.0000, 0.0000, 0.5000)
O (0.3333, 0.6667, 0.1667)
O (0.6667, 0.3333, 0.8333)

Properties
Final energy in eV per atom: -6.038
Energy relative to the elements, uncorrected in eV per atom: -1.6038
Energy relative to the lowest polymorph listed for this composition in kJ/mol of atoms: 0.0

***

Ce3Tl4CdS8 | PBE | optimized geometry

a b c (Å): 8.8696 8.8696 8.8696
angles (deg): 55.38 55.38 55.38
Sites, in units of the cell vectors:
Ce (0.0000, 0.5000, 0.5000)
Ce (0.5000, 0.0000, 0.5000)
Ce (0.5000, 0.5000, 0.0000)
Tl (0.0000, 0.0000, 0.5000)
Tl (0.0000, 0.5000, 0.0000)
Tl (0.5000, 0.0000, 0.0000)
Tl (0.5000, 0.5000, 0.5000)
Cd (0.0000, 0.0000, 0.0000)
S (0.2346, 0.2346, 0.7320)
S (0.2346, 0.7320, 0.2346)
S (0.2658, 0.2658, 0.2658)
S (0.2680, 0.7654, 0.7654)
S (0.7320, 0.2346, 0.2346)
S (0.7342, 0.7342, 0.7342)
S (0.7654, 0.2680, 0.7654)
S (0.7654, 0.7654, 0.2680)

Properties
Final energy in eV per atom: -5.011
Energy relative to the elements, uncorrected in eV per atom: -1.1861

***

Ac3La6Pr2 | PBE | optimized geometry

a b c (Å): 6.5995 8.4627 8.5239
angles (deg): 107.47 105.08 97.15
Sites, in units of the cell vectors:
Ac (0.0000, 0.0000, 0.0000)
Ac (0.0963, 0.8139, 0.3662)
Ac (0.9037, 0.1861, 0.6338)
La (0.1867, 0.6366, 0.7299)
La (0.3613, 0.2794, 0.4532)
La (0.4532, 0.0928, 0.8208)
La (0.5468, 0.9072, 0.1792)
La (0.6387, 0.7206, 0.5468)
La (0.8133, 0.3634, 0.2701)
Pr (0.2775, 0.4567, 0.0907)
Pr (0.7225, 0.5433, 0.9093)

Properties
Final energy in eV per atom: -4.656
Energy of formation in eV per atom: 0.0208

***

ZnHgTe2 | PBE | optimized geometry

a b c (Å): 3.1755 5.7696 5.7826
angles (deg): 90.00 90.03 90.00
Sites, in units of the cell vectors:
Zn (0.0000, 0.0000, 0.0000)
Hg (0.5186, 0.5000, 0.4984)
Te (0.2236, 0.0000, 0.4997)
Te (0.7817, 0.5000, 0.9988)

Properties
Final energy in eV per atom: -1.958
Energy relative to the elements, uncorrected in eV per atom: 0.0070

***

ScMn2Be | PBE | optimized geometry

a b c (Å): 2.9801 4.4420 8.5377
angles (deg): 90.00 90.00 90.00
Sites, in units of the cell vectors:
Sc (0.0000, 0.0000, 0.0000)
Sc (0.5000, 0.5000, 0.5000)
Mn (0.0000, 0.5000, 0.2130)
Mn (0.0000, 0.5000, 0.7870)
Mn (0.5000, 0.0000, 0.2870)
Mn (0.5000, 0.0000, 0.7130)
Be (0.0000, 0.0000, 0.5000)
Be (0.5000, 0.5000, 0.0000)

Properties
Final energy in eV per atom: -6.946
Energy of formation in eV per atom: 0.1533

***

Nd4AlCd | PBE | optimized geometry

a b c (Å): 13.1766 3.7779 7.6268
angles (deg): 90.00 106.86 90.00
Sites, in units of the cell vectors:
Nd (0.1491, 0.0000, 0.3173)
Nd (0.1495, 0.0000, 0.8314)
Nd (0.3505, 0.5000, 0.1686)
Nd (0.3509, 0.5000, 0.6827)
Nd (0.6491, 0.5000, 0.3173)
Nd (0.6495, 0.5000, 0.8314)
Nd (0.8505, 0.0000, 0.1686)
Nd (0.8509, 0.0000, 0.6827)
Al (0.0000, 0.5000, 0.0000)
Al (0.5000, 0.0000, 0.0000)
Cd (0.0000, 0.5000, 0.5000)
Cd (0.5000, 0.0000, 0.5000)

Properties
Final energy in eV per atom: -4.141
Energy of formation in eV per atom: -0.1865
Energy relative to the lowest polymorph listed for this composition in kJ/mol of atoms: 0.0

***

Short version: density = 7.93 10.90 9.69 6.06 6.97 8.17 4.81 6.55 g/cm3, in the order given.